<P>
A geometry-optimized TaFe2Ir2 structure, computed with PBE.

Geometry as extended XYZ:
```
10
Lattice="-5.279 -1.666 4.585 4.798 -2.994 4.437 0.341 2.447 1.282" Properties=species:S:1:pos:R:3 pbc="T T T"
Fe 2.489 -1.053 4.370
Fe -0.781 0.168 2.909
Fe -2.629 -1.159 5.934
Fe 0.641 -2.381 7.395
Ir 2.222 -3.215 5.545
Ir -1.557 -3.337 6.784
Ir 1.076 -1.323 2.238
Ir -2.703 -1.445 3.477
Ta -0.241 -2.330 4.511
Ta 0.000 0.000 0.000
```



<Q>
A geometry-optimized TaFe2Ir2 structure, computed with PBE.

Geometry as extended XYZ:
```
10
Lattice="7.118 0.000 0.000 0.000 7.118 0.000 0.000 0.000 2.744" Properties=species:S:1:pos:R:3 pbc="T T T"
Ir 1.261 4.820 1.372
Ir 2.299 1.261 1.372
Ir 4.820 5.858 1.372
Ir 5.858 2.299 1.372
Ta 3.559 3.559 0.000
Ta 0.000 0.000 0.000
Fe 0.838 2.721 0.000
Fe 6.281 4.397 0.000
Fe 4.397 0.838 0.000
Fe 2.721 6.281 0.000
```



The most stable arrangement is <Q>, and the next structure is 71 meV per atom less stable.



<P>
A geometry-optimized FeTcIr2 structure, computed with PBE.

Geometry as extended XYZ:
```
4
Lattice="-2.197 -1.596 0.201 1.588 -2.207 -0.166 0.720 -0.047 7.487" Properties=species:S:1:pos:R:3 pbc="T T T"
Fe 0.235 -1.937 5.633
Ir 0.718 -0.047 7.460
Ir 0.363 -0.024 3.770
Tc -0.125 -1.913 1.889
```



<Q>
A geometry-optimized FeTcIr2 structure, computed with PBE.

Geometry as extended XYZ:
```
4
Lattice="-1.142 2.436 0.307 -2.453 -1.145 -0.039 0.265 -0.823 7.507" Properties=species:S:1:pos:R:3 pbc="T T T"
Tc 0.134 -0.417 3.801
Fe -1.598 0.025 5.797
Ir 0.261 -0.811 7.401
Ir -1.730 0.437 2.038
```



<R>
A geometry-optimized FeTcIr2 structure, computed with PBE.

Geometry as extended XYZ:
```
4
Lattice="8.898 -0.005 -0.003 8.482 2.687 -0.003 8.482 1.309 2.346" Properties=species:S:1:pos:R:3 pbc="T T T"
Ir 6.419 0.991 0.581
Ir 0.087 0.013 0.008
Fe 19.379 2.991 1.754
Tc 12.909 1.992 1.168
```



The most stable arrangement is <P>, and the next structure is 117 meV per atom less stable.



<P>
A geometry-optimized FeTcIr2 structure, computed with PBE.

Geometry as extended XYZ:
```
8
Lattice="-4.135 -0.947 3.211 -2.044 -3.327 -3.614 -0.327 -6.350 2.115" Properties=species:S:1:pos:R:3 pbc="T T T"
Ir -2.608 -6.441 1.353
Ir -1.969 -3.807 -1.256
Ir -5.606 -8.428 1.315
Ir -2.829 -2.574 2.011
Fe -3.090 -2.137 -0.201
Fe -2.730 -5.907 -0.850
Tc -3.776 -4.717 2.562
Tc 0.000 0.000 0.000
```



<Q>
A geometry-optimized FeTcIr2 structure, computed with PBE.

Geometry as extended XYZ:
```
4
Lattice="-0.913 -0.477 -4.545 -3.175 -2.376 2.448 -1.580 2.201 0.086" Properties=species:S:1:pos:R:3 pbc="T T T"
Tc -1.247 0.862 -2.229
Ir -2.044 -1.426 -1.048
Ir 0.000 0.000 0.000
Fe -2.378 -0.087 1.267
```



The most stable arrangement is <Q>, and the next structure is 1017 meV per atom less stable.